Material: RbBaAg2Hg
Method: DFT, PBE
State: optimized geometry

Cell and atoms, written as POSCAR:
```
RbBaAg2Hg
1.0
5.579 0.000 0.000
0.000 6.015 0.000
0.000 0.000 5.579
Ag Hg Ba Rb
2 1 1 1
direct
0.000 0.000 0.500 Ag
0.500 0.000 0.000 Ag
0.000 0.000 0.000 Hg
0.500 0.500 0.500 Ba
0.000 0.500 0.000 Rb
```

Calculated volume ... 37.4 Å³/atom
ΔH_f (0 K) ... 0.86 eV/f.u.
VASP energy ... -0.1181 Ry/atom
Calculated density ... 5.7 g cm⁻³

Material: BaCeH3
Method: DFT, PBE
State: optimized geometry

Cell and atoms, written as POSCAR:
```
BaCeH3
1.0
4.559 0.000 0.000
0.000 4.559 0.000
0.000 0.000 4.559
H Ce Ba
3 1 1
direct
0.000 0.000 0.500 H
0.500 0.000 0.000 H
0.000 0.500 0.000 H
0.000 0.000 0.000 Ce
0.500 0.500 0.500 Ba
```

Calculated volume ... 18.9 Å³/atom
VASP energy ... -0.2830 Ry/atom
Calculated density ... 4.9 g cm⁻³